# 1
Compound: HgB2F8
Source: Alexandria via LeMat-Bulk
Functional: GGA-PBE
Structure: relaxed

The structure in CIF format:
```
data_HgB2F8
_chemical_formula_sum 'Hg4 B8 F32'
_symmetry_space_group_name_H-M 'C 1 2/c 1'
_symmetry_Int_Tables_number 15
_cell_length_a 11.7151
_cell_length_b 6.6852
_cell_length_c 9.9787
_cell_angle_alpha 90.00
_cell_angle_beta 122.60
_cell_angle_gamma 90.00
loop_
_symmetry_equiv_pos_as_xyz
'x,y,z'
'-x,-y,-z'
'-x,y,-z+1/2'
'x,-y,z+1/2'
'x+1/2,y+1/2,z'
'-x+1/2,-y+1/2,-z'
'-x+1/2,y+1/2,-z+1/2'
'x+1/2,-y+1/2,z+1/2'
loop_
_atom_site_label
_atom_site_fract_x
_atom_site_fract_y
_atom_site_fract_z
Hg1 0.0000 0.0786 0.2500
B1 0.1421 0.2147 0.5914
F1 0.0477 0.3227 0.4491
F2 0.0926 0.2044 0.6938
F3 0.1494 0.0195 0.5393
F4 0.2317 0.1906 0.3288
```

- uncorrected energy (eV/atom) = -5.062
- formation energy (no corrections) (eV per atom) = -2.46



# 2
Compound: HgB3F
Source: Alexandria via LeMat-Bulk
Functional: GGA-PBE
Structure: relaxed

The structure in CIF format:
```
data_HgB3F
_chemical_formula_sum 'Hg1 B3 F1'
_symmetry_space_group_name_H-M 'P m -3 m'
_symmetry_Int_Tables_number 221
_symmetry_space_group_name_Hall '-P 4 2 3'
_cell_length_a 4.4103
_cell_length_b 4.4103
_cell_length_c 4.4103
_cell_angle_alpha 90.00
_cell_angle_beta 90.00
_cell_angle_gamma 90.00
loop_
_atom_site_label
_atom_site_fract_x
_atom_site_fract_y
_atom_site_fract_z
Hg1 0.0000 0.0000 0.0000
B1 0.0000 0.0000 0.5000
F1 0.5000 0.5000 0.5000
```

- uncorrected energy (eV/atom) = -2.441
- formation energy (no corrections) (eV per atom) = 2.00